This record from the Alexandria database describes a relaxed structure of SrPmGa3. The functional is PBE.

```
SrPmGa3
1.0
-1.690 1.360 -3.680
-0.033 -4.343 -1.590
-12.076 0.461 5.716
Pm Sr Ga
2 2 6
Direct
0.750 0.203 0.406 Pm
0.250 0.797 0.594 Pm
0.750 0.927 0.853 Sr
0.250 0.073 0.147 Sr
0.250 0.678 0.355 Ga
0.250 0.379 0.758 Ga
0.750 0.322 0.645 Ga
0.250 0.475 0.950 Ga
0.750 0.621 0.242 Ga
0.750 0.525 0.050 Ga
```

Computed properties:
mass density: 5.6 Mg/m³
E_tot: -3.62 eV/atom
total magnetic moment: 0.1 μB/f.u.
relative energy among the computed polymorphs: 46.0 meV/atom

***

This record from the Alexandria database describes a relaxed structure of SrPm3Ga2. The functional is PBE.

```
SrPm3Ga2
1.0
4.971 0.000 0.000
-2.485 9.526 -0.420
0.000 -4.741 7.877
Pm Sr Ga
6 2 4
Direct
0.318 0.636 0.579 Pm
0.955 0.910 0.603 Pm
0.682 0.364 0.421 Pm
0.355 0.711 0.197 Pm
0.045 0.090 0.397 Pm
0.645 0.289 0.803 Pm
0.126 0.252 0.085 Sr
0.874 0.748 0.915 Sr
0.499 0.999 0.142 Ga
0.217 0.435 0.750 Ga
0.783 0.565 0.250 Ga
0.501 0.001 0.858 Ga
```

Computed properties:
mass density: 6.1 Mg/m³
E_tot: -3.93 eV/atom
total magnetic moment: 0.0 μB/f.u.

***

This record from the Alexandria database describes a relaxed structure of Sr2PmGa6. The functional is PBE.

```
Sr2PmGa6
1.0
3.498 0.000 0.000
1.749 8.177 -0.066
1.749 2.285 7.851
Ga Sr Pm
6 2 1
Direct
0.000 0.212 0.788 Ga
0.179 0.514 0.129 Ga
0.821 0.486 0.871 Ga
0.179 0.129 0.514 Ga
0.821 0.871 0.486 Ga
0.000 0.788 0.212 Ga
0.635 0.865 0.865 Sr
0.365 0.135 0.135 Sr
0.500 0.500 0.500 Pm
```

Computed properties:
mass density: 5.4 Mg/m³
E_tot: -3.19 eV/atom
total magnetic moment: 0.0 μB/f.u.

***

This record from the Alexandria database describes a relaxed structure of SrPmGa. The functional is PBE.

```
SrPmGa
1.0
-2.087 -4.842 -0.278
2.492 -3.798 -2.692
2.274 -4.007 2.580
Sr Pm Ga
1 1 1
Direct
0.500 0.500 0.500 Sr
0.000 0.000 0.000 Pm
0.250 0.250 0.250 Ga
```

Computed properties:
mass density: 4.8 Mg/m³
E_tot: -3.29 eV/atom
total magnetic moment: 0.0 μB/f.u.
relative energy among the computed polymorphs: 134.0 meV/atom

***

This record from the Alexandria database describes a relaxed structure of SrPmGa3. The functional is PBE.

```
SrPmGa3
1.0
-1.920 -1.329 -3.628
-1.791 -3.299 2.155
-10.062 9.506 1.843
Pm Ga Sr
2 6 2
Direct
0.250 0.066 0.132 Pm
0.750 0.934 0.868 Pm
0.250 0.478 0.955 Ga
0.750 0.339 0.679 Ga
0.750 0.522 0.045 Ga
0.750 0.612 0.223 Ga
0.250 0.661 0.321 Ga
0.250 0.388 0.777 Ga
0.750 0.200 0.401 Sr
0.250 0.800 0.599 Sr
```

Computed properties:
mass density: 5.7 Mg/m³
E_tot: -3.67 eV/atom
total magnetic moment: 0.0 μB/f.u.
relative energy among the computed polymorphs: 0.0 meV/atom

***

This record from the Alexandria database describes a relaxed structure of SrPm2Ga6. The functional is PBE.

```
SrPm2Ga6
1.0
-0.843 4.285 0.428
2.863 1.238 -6.764
-7.256 -1.503 0.754
Ga Pm Sr
6 2 1
Direct
0.500 0.337 0.337 Ga
0.500 0.000 0.663 Ga
0.500 0.663 0.663 Ga
0.500 0.337 0.000 Ga
0.500 0.000 0.337 Ga
0.500 0.663 0.000 Ga
0.000 0.333 0.667 Pm
0.000 0.667 0.333 Pm
0.000 0.000 0.000 Sr
```

Computed properties:
mass density: 6.3 Mg/m³
E_tot: -3.87 eV/atom
total magnetic moment: 0.0 μB/f.u.
relative energy among the computed polymorphs: 0.0 meV/atom